## Sr2CeMn3O9 (GGA+U)

Data for a geometry-optimized Sr2CeMn3O9 structure.

Calculated values
**Total DFT energy (no corrections)**: -7.358 eV per atom
**Symmetry**: No. 12
**DOS(E_F)**: 1.3 states/eV/f.u.

Cell lengths 5.534, 5.534, 13.614 Å; angles 90.71, 90.71, 59.84 degrees
Positions (direct):
Sr (0.165, 0.165, 0.080)
Sr (0.166, 0.166, 0.585)
Sr (0.834, 0.834, 0.415)
Sr (0.835, 0.835, 0.920)
Ce (0.489, 0.489, 0.252)
Ce (0.511, 0.511, 0.748)
Mn (0.164, 0.164, 0.835)
Mn (0.171, 0.171, 0.331)
Mn (0.500, 0.500, 0.000)
Mn (0.500, 0.500, 0.500)
Mn (0.829, 0.829, 0.669)
Mn (0.836, 0.836, 0.165)
O (0.030, 0.030, 0.229)
O (0.054, 0.526, 0.262)
O (0.146, 0.640, 0.075)
O (0.192, 0.677, 0.610)
O (0.319, 0.319, 0.438)
O (0.323, 0.808, 0.390)
O (0.360, 0.854, 0.925)
O (0.369, 0.369, 0.880)
O (0.474, 0.946, 0.738)
O (0.526, 0.054, 0.262)
O (0.631, 0.631, 0.120)
O (0.640, 0.146, 0.075)
O (0.677, 0.192, 0.610)
O (0.681, 0.681, 0.562)
O (0.808, 0.323, 0.390)
O (0.854, 0.360, 0.925)
O (0.946, 0.474, 0.738)
O (0.970, 0.970, 0.771)